1.
Density functional theory data (PBE) for Cr5Mo3Os12 after structural relaxation.

Values from the calculation:
Energy relative to the elements, eV per atom: 1.16
Symmetry: No. 230
Size of the total moment, μB per cell: 0.0
Electronic total energy, eV per cell: -768.7
Crystal system: cubic

a = 12.2749 Å, b = 12.2749 Å, c = 12.2749 Å
α = 109.47°, β = 109.47°, γ = 109.47°
Last column: nearest neighbours and their distance in Å.
Element x y z (fractional)
Mo 0.7500 0.3750 0.1250  8 Os 2.55-2.65
Mo 0.8750 0.7500 0.1250  8 Os 2.55-2.65
Mo 0.3750 0.7500 0.6250  8 Os 2.55-2.65
Mo 0.2500 0.1250 0.3750  8 Os 2.55-2.65
Mo 0.8750 0.1250 0.2500  8 Os 2.55-2.65
Mo 0.3750 0.6250 0.2500  8 Os 2.55-2.65
Mo 0.6250 0.3750 0.7500  8 Os 2.55-2.65
Mo 0.1250 0.8750 0.7500  8 Os 2.55-2.65
Mo 0.7500 0.8750 0.6250  8 Os 2.55-2.65
Mo 0.6250 0.2500 0.3750  8 Os 2.55-2.65
Mo 0.1250 0.2500 0.8750  8 Os 2.55-2.65
Mo 0.2500 0.6250 0.8750  8 Os 2.55-2.65
Cr 0.1250 0.3750 0.2500  4 Os 2.32
Cr 0.0000 0.5000 0.0000  6 Os 2.40
Cr 0.0000 0.0000 0.0000  6 Os 2.40
Cr 0.3750 0.2500 0.1250  4 Os 2.32
Cr 0.5000 0.0000 0.5000  6 Os 2.40
Cr 0.5000 0.5000 0.0000  6 Os 2.40
Cr 0.1250 0.7500 0.3750  4 Os 2.32
Cr 0.7500 0.1250 0.8750  4 Os 2.32
Cr 0.7500 0.6250 0.3750  4 Os 2.32
Cr 0.3750 0.1250 0.7500  4 Os 2.32
Cr 0.6250 0.8750 0.2500  4 Os 2.32
Cr 0.5000 0.5000 0.5000  6 Os 2.40
Cr 0.5000 0.0000 0.0000  6 Os 2.40
Cr 0.0000 0.0000 0.5000  6 Os 2.40
Cr 0.2500 0.3750 0.6250  4 Os 2.32
Cr 0.2500 0.8750 0.1250  4 Os 2.32
Cr 0.0000 0.5000 0.5000  6 Os 2.40
Cr 0.8750 0.2500 0.6250  4 Os 2.32
Cr 0.6250 0.7500 0.8750  4 Os 2.32
Cr 0.8750 0.6250 0.7500  4 Os 2.32
Os 0.7250 0.1354 0.0564  2 Cr 2.32-2.40, 1 Mo 2.55
Os 0.3314 0.5564 0.4210  2 Cr 2.32-2.40, 1 Mo 2.55
Os 0.9436 0.3646 0.2750  2 Cr 2.32-2.40, 1 Mo 2.55
Os 0.5564 0.2250 0.1354  2 Cr 2.32-2.40, 1 Mo 2.55
Os 0.5896 0.7250 0.6686  2 Cr 2.32-2.40, 1 Mo 2.55
Os 0.9436 0.5790 0.1686  2 Cr 2.32-2.40, 1 Mo 2.55
Os 0.3314 0.7750 0.4104  2 Cr 2.32-2.40, 1 Mo 2.55
Os 0.0790 0.9104 0.1354  2 Cr 2.32-2.40, 1 Mo 2.55
Os 0.5790 0.9436 0.6686  2 Cr 2.32-2.40, 1 Mo 2.55
Os 0.7250 0.5896 0.1686  2 Cr 2.32-2.40, 1 Mo 2.55
Os 0.7750 0.4436 0.3646  2 Cr 2.32-2.40, 1 Mo 2.55
Os 0.8314 0.9210 0.0564  2 Cr 2.32-2.40, 1 Mo 2.55
Os 0.1354 0.7250 0.5564  2 Cr 2.32-2.40, 1 Mo 2.55
Os 0.3646 0.4210 0.0896  2 Cr 2.32-2.40, 1 Mo 2.55
Os 0.0896 0.9210 0.3646  2 Cr 2.32-2.40, 1 Mo 2.55
Os 0.4104 0.1354 0.5790  2 Cr 2.32-2.40, 1 Mo 2.55
Os 0.0896 0.1686 0.2250  2 Cr 2.32-2.40, 1 Mo 2.55
Os 0.4436 0.6686 0.0790  2 Cr 2.32-2.40, 1 Mo 2.55
Os 0.8314 0.9104 0.2750  2 Cr 2.32-2.40, 1 Mo 2.55
Os 0.1354 0.4104 0.0790  2 Cr 2.32-2.40, 1 Mo 2.55
Os 0.3646 0.9436 0.7750  2 Cr 2.32-2.40, 1 Mo 2.55
Os 0.5790 0.6354 0.4104  2 Cr 2.32-2.40, 1 Mo 2.55
Os 0.9210 0.8314 0.5564  2 Cr 2.32-2.40, 1 Mo 2.55
Os 0.7750 0.3314 0.9104  2 Cr 2.32-2.40, 1 Mo 2.55
Os 0.4210 0.3646 0.5896  2 Cr 2.32-2.40, 1 Mo 2.55
Os 0.0790 0.1686 0.4436  2 Cr 2.32-2.40, 1 Mo 2.55
Os 0.2250 0.6686 0.0896  2 Cr 2.32-2.40, 1 Mo 2.55
Os 0.1686 0.0896 0.7250  2 Cr 2.32-2.40, 1 Mo 2.55
Os 0.6354 0.0564 0.2250  2 Cr 2.32-2.40, 1 Mo 2.55
Os 0.8646 0.5896 0.9210  2 Cr 2.32-2.40, 1 Mo 2.55
Os 0.5564 0.3314 0.9210  2 Cr 2.32-2.40, 1 Mo 2.55
Os 0.5896 0.8646 0.4210  2 Cr 2.32-2.40, 1 Mo 2.55
Os 0.9104 0.8314 0.7750  2 Cr 2.32-2.40, 1 Mo 2.55
Os 0.9104 0.0790 0.6354  2 Cr 2.32-2.40, 1 Mo 2.55
Os 0.8646 0.2750 0.4436  2 Cr 2.32-2.40, 1 Mo 2.55
Os 0.1686 0.0790 0.9436  2 Cr 2.32-2.40, 1 Mo 2.55
Os 0.6354 0.5790 0.9104  2 Cr 2.32-2.40, 1 Mo 2.55
Os 0.4210 0.0564 0.3314  2 Cr 2.32-2.40, 1 Mo 2.55
Os 0.2750 0.4104 0.8314  2 Cr 2.32-2.40, 1 Mo 2.55
Os 0.2250 0.5564 0.6354  2 Cr 2.32-2.40, 1 Mo 2.55
Os 0.9210 0.0896 0.8646  2 Cr 2.32-2.40, 1 Mo 2.55
Os 0.6686 0.2250 0.5896  2 Cr 2.32-2.40, 1 Mo 2.55
Os 0.4436 0.7750 0.8646  2 Cr 2.32-2.40, 1 Mo 2.55
Os 0.0564 0.4210 0.8314  2 Cr 2.32-2.40, 1 Mo 2.55
Os 0.4104 0.2750 0.3314  2 Cr 2.32-2.40, 1 Mo 2.55
Os 0.0564 0.6354 0.7250  2 Cr 2.32-2.40, 1 Mo 2.55
Os 0.6686 0.4436 0.5790  2 Cr 2.32-2.40, 1 Mo 2.55
Os 0.2750 0.8646 0.9436  2 Cr 2.32-2.40, 1 Mo 2.55



2.
Density functional theory data (PBE) for CrMoOs2 after structural relaxation.

Values from the calculation:
Energy relative to the elements, eV per atom: 0.18
Symmetry: No. 6
Size of the total moment, μB per cell: 0.0
Electronic total energy, eV per cell: -42.2
Crystal system: monoclinic
Energy relative to the lowest polymorph listed for this composition, meV/atom: 101

a = 4.0196 Å, b = 2.6936 Å, c = 5.5734 Å
α = 70.84°, β = 90.00°, γ = 90.00°
Last column: nearest neighbours and their distance in Å.
Element x y z (fractional)
Cr 0.0000 0.5688 0.4964  2 Mo 2.49, 3 Os 2.55-2.64, 2 Cr 2.69
Mo 0.5000 0.6779 0.7386  2 Cr 2.49, 4 Os 2.68-2.76, 2 Mo 2.69
Os 0.0000 0.9443 0.0122  2 Cr 2.55-2.81, 6 Os 2.69-2.77, 2 Mo 2.76
Os 0.5000 0.3090 0.2529  4 Cr 2.64-2.84, 2 Mo 2.68-2.71, 6 Os 2.69-2.77



3.
Density functional theory data (PBE) for Cr2MoOs after structural relaxation.

Values from the calculation:
Energy relative to the elements, eV per atom: 0.18
Symmetry: No. 12
Size of the total moment, μB per cell: 0.0
Electronic total energy, eV per cell: -40.6
Crystal system: monoclinic
Energy relative to the lowest polymorph listed for this composition, meV/atom: 93

a = 4.9295 Å, b = 4.9295 Å, c = 2.6431 Å
α = 79.37°, β = 79.37°, γ = 115.53°
Last column: nearest neighbours and their distance in Å.
Element x y z (fractional)
Cr 0.0000 0.0000 0.0000  2 Mo 2.57, 2 Os 2.57, 4 Cr 2.63-2.64
Cr 0.5000 0.5000 0.0000  2 Os 2.57, 2 Mo 2.57, 4 Cr 2.63-2.64
Mo 0.5000 0.0000 0.5000  4 Cr 2.57, 2 Os 2.63, 2 Mo 2.64
Os 0.0000 0.5000 0.5000  4 Cr 2.57, 2 Mo 2.63, 2 Os 2.64



4.
Density functional theory data (PBE) for Cr2MoOs after structural relaxation.

Values from the calculation:
Energy relative to the elements, eV per atom: 0.24
Symmetry: No. 47
Size of the total moment, μB per cell: 0.0
Electronic total energy, eV per cell: -40.3
Crystal system: orthorhombic
Energy relative to the lowest polymorph listed for this composition, meV/atom: 158

a = 2.6993 Å, b = 3.7064 Å, c = 5.4455 Å
α = 90.00°, β = 90.00°, γ = 90.00°
Last column: nearest neighbours and their distance in Å.
Element x y z (fractional)
Cr 0.0000 0.0000 0.9902  4 Cr 2.62-2.83, 4 Os 2.64, 4 Mo 2.69
Cr 0.0000 0.0000 0.5098  4 Cr 2.62-2.83, 4 Os 2.64, 4 Mo 2.69
Mo 0.5000 0.5000 0.2500  8 Cr 2.69, 2 Mo 2.70, 2 Os 2.72
Os 0.5000 0.5000 0.7500  8 Cr 2.64, 2 Os 2.70, 2 Mo 2.72



5.
Density functional theory data (PBE) for Cr2MoOs after structural relaxation.

Values from the calculation:
Energy relative to the elements, eV per atom: 0.22
Symmetry: No. 35
Size of the total moment, μB per cell: 0.0
Electronic total energy, eV per cell: -40.4
Crystal system: orthorhombic
Energy relative to the lowest polymorph listed for this composition, meV/atom: 137

a = 2.6432 Å, b = 2.6432 Å, c = 8.3609 Å
α = 90.00°, β = 90.00°, γ = 111.47°
Last column: nearest neighbours and their distance in Å.
Element x y z (fractional)
Cr 0.0000 0.0000 0.0130  6 Cr 2.38-2.64, 2 Os 2.56
Cr 0.5000 0.5000 0.2350  6 Cr 2.38-2.64, 2 Mo 2.59
Mo 0.0000 0.0000 0.4882  2 Cr 2.59, 4 Mo 2.64, 2 Os 2.74
Os 0.5000 0.5000 0.7638  2 Cr 2.56, 4 Os 2.64, 2 Mo 2.74



6.
Density functional theory data (PBE) for CrMoOs2 after structural relaxation.

Values from the calculation:
Energy relative to the elements, eV per atom: 0.08
Symmetry: No. 123
Size of the total moment, μB per cell: 0.0
Electronic total energy, eV per cell: -42.6
Crystal system: tetragonal
Energy relative to the lowest polymorph listed for this composition, meV/atom: 0

a = 2.7411 Å, b = 2.7411 Å, c = 7.5222 Å
α = 90.00°, β = 90.00°, γ = 90.00°
Last column: nearest neighbours and their distance in Å.
Element x y z (fractional)
Cr 0.5000 0.5000 0.2500  8 Os 2.60, 4 Cr 2.74
Mo 0.5000 0.5000 0.7500  4 Mo 2.74, 8 Os 2.80
Os 0.0000 0.0000 0.0191  4 Cr 2.60, 4 Os 2.74, 4 Mo 2.80
Os 0.0000 0.0000 0.4809  4 Cr 2.60, 4 Os 2.74, 4 Mo 2.80



7.
Density functional theory data (PBE) for Cr2MoOs after structural relaxation.

Values from the calculation:
Energy relative to the elements, eV per atom: 0.09
Symmetry: No. 44
Size of the total moment, μB per cell: 0.0
Electronic total energy, eV per cell: -41.0
Crystal system: orthorhombic
Energy relative to the lowest polymorph listed for this composition, meV/atom: 4

a = 4.9771 Å, b = 4.9771 Å, c = 4.2701 Å
α = 64.60°, β = 64.60°, γ = 34.56°
Last column: nearest neighbours and their distance in Å.
Element x y z (fractional)
Cr 0.0158 0.0158 0.9838  2 Cr 2.38, 4 Mo 2.60-2.61, 2 Os 2.64
Cr 0.7354 0.7354 0.7650  2 Cr 2.38, 4 Os 2.60-2.61, 2 Mo 2.62
Mo 0.4905 0.4905 0.5096  6 Cr 2.60-2.62, 4 Os 2.71-2.91
Os 0.2583 0.2583 0.2417  6 Cr 2.60-2.64, 4 Mo 2.71-2.91



8.
Density functional theory data (PBE) for CrMoOs4 after structural relaxation.

Values from the calculation:
Energy relative to the elements, eV per atom: 0.52
Symmetry: No. 216
Size of the total moment, μB per cell: 2.5
Electronic total energy, eV per cell: -62.2
Crystal system: cubic

a = 5.1022 Å, b = 5.1022 Å, c = 5.1022 Å
α = 60.00°, β = 60.00°, γ = 60.00°
Last column: nearest neighbours and their distance in Å.
Element x y z (fractional)
Cr 0.7500 0.7500 0.7500  12 Os 2.99, 4 Mo 3.12
Mo 0.0000 0.0000 0.0000  12 Os 2.99, 4 Cr 3.12
Os 0.8734 0.3755 0.3755  6 Os 2.54-2.56
Os 0.3755 0.3755 0.8734  6 Os 2.54-2.56
Os 0.3755 0.8734 0.3755  6 Os 2.54-2.56
Os 0.3755 0.3755 0.3755  6 Os 2.54-2.56